Density functional theory data (PBE) for an optimized crystal structure of MgNi2B.

**ΔE_f**: 1.1 eV/f.u.
**DFT total energy**: -4.68 eV/atom

abc: 7.021 7.021 7.021
angles: 143.39 143.39 52.74
Fractional coordinates of all 8 atoms:
Mg: 0.000 0.000 0.000
Mg: 0.750 0.250 0.500
Ni: 0.336 0.625 0.211
Ni: 0.375 0.586 0.711
Ni: 0.414 0.125 0.789
Ni: 0.875 0.664 0.289
B: 0.250 0.750 0.500
B: 0.500 0.500 0.000